(1)
Computed, not measured: Y2MgAl at its PBEsol-relaxed geometry at the meta-GGA SCAN level of DFT.

Calculated values
DOS(E_F): 2.1 states/eV per cell
E_form: -0.307 eV per atom
volume: 98 Å³ per cell

Cell and atoms, written as POSCAR:
```
Y2MgAl
1.0
-2.793 1.651 1.652
-1.488 -3.243 0.725
3.655 -0.241 6.418
Y Mg Al
2 1 1
Direct
0.000 0.000 0.763
0.000 0.000 0.237
0.500 0.500 0.500
0.500 0.500 0.000
```


(2)
Computed, not measured: Sc3TlRe at its PBEsol-relaxed geometry at the meta-GGA SCAN level of DFT.

Calculated values
DOS(E_F): 4.9 states/eV per cell
E_form: 0.113 eV per atom
volume: 125 Å³ per cell

Cell and atoms, written as POSCAR:
```
Sc3TlRe
1.0
5.001 0.000 0.000
0.000 5.001 0.000
0.000 0.000 5.001
Sc Re Tl
3 1 1
Direct
0.000 0.500 0.000
0.000 0.000 0.500
0.500 0.000 0.000
0.000 0.000 0.000
0.500 0.500 0.500
```


(3)
Computed, not measured: LiLaFe2 at its PBEsol-relaxed geometry at the meta-GGA SCAN level of DFT.

Calculated values
DOS(E_F): 2.6 states/eV per cell
E_form: 0.500 eV per atom
volume: 64 Å³ per cell

Cell and atoms, written as POSCAR:
```
LiLaFe2
1.0
-3.535 1.078 1.271
-1.536 -3.264 -1.504
3.227 -0.896 3.726
Fe La Li
2 1 1
Direct
0.750 0.250 0.500
0.250 0.750 0.500
0.500 0.500 0.000
0.000 0.000 0.000
```


(4)
Computed, not measured: Zr2MoOs at its PBEsol-relaxed geometry at the meta-GGA SCAN level of DFT.

Calculated values
DOS(E_F): 2.8 states/eV per cell
E_form: -0.342 eV per atom
volume: 70 Å³ per cell

Cell and atoms, written as POSCAR:
```
Zr2MoOs
1.0
-2.572 0.870 1.793
-1.956 -0.547 -2.541
-0.769 -6.277 1.942
Mo Os Zr
1 1 2
Direct
0.500 0.500 0.000
0.500 0.500 0.500
0.000 0.000 0.746
0.000 0.000 0.254
```


(5)
Computed, not measured: BaYMg at its PBEsol-relaxed geometry at the meta-GGA SCAN level of DFT.

Calculated values
DOS(E_F): 3.6 states/eV per cell
E_form: 0.224 eV per atom
volume: 100 Å³ per cell

Cell and atoms, written as POSCAR:
```
BaYMg
1.0
3.499 0.000 0.000
0.000 5.758 0.000
0.000 -2.879 4.986
Ba Mg Y
1 1 1
Direct
0.995 0.000 0.000
0.650 0.333 0.667
0.355 0.667 0.333
```


(6)
Computed, not measured: SiNiH12O6F6 at its PBEsol-relaxed geometry at the meta-GGA SCAN level of DFT.

Calculated values
DOS(E_F): 0.0 states/eV per cell
calculated total energy: -6.53 eV per atom
volume: 233 Å³ per cell

Cell and atoms, written as POSCAR:
```
SiNiH12O6F6
1.0
-1.266 -5.488 -2.588
3.749 -2.155 4.441
-5.113 0.338 3.488
Si Ni H O F
1 1 12 6 6
Direct
0.500 0.500 0.500
0.000 0.000 0.000
0.935 0.811 0.592
0.811 0.592 0.935
0.592 0.935 0.811
0.408 0.065 0.189
0.189 0.408 0.065
0.065 0.189 0.408
0.817 0.205 0.306
0.795 0.694 0.183
0.694 0.183 0.795
0.306 0.817 0.205
0.205 0.306 0.817
0.183 0.795 0.694
0.939 0.115 0.304
0.885 0.696 0.061
0.696 0.061 0.885
0.304 0.939 0.115
0.115 0.304 0.939
0.061 0.885 0.696
0.693 0.690 0.431
0.690 0.431 0.693
0.569 0.307 0.310
0.431 0.693 0.690
0.310 0.569 0.307
0.307 0.310 0.569
```


(7)
Computed, not measured: K2LaBr at its PBEsol-relaxed geometry at the meta-GGA SCAN level of DFT.

Calculated values
DOS(E_F): 3.2 states/eV per cell
formation energy without anion corrections: -0.193 eV/atom
volume: 153 Å³ per cell

Cell and atoms, written as POSCAR:
```
K2LaBr
1.0
-0.188 -3.814 -2.641
3.176 1.821 -2.856
5.156 -2.931 3.865
Br K La
1 2 1
Direct
0.000 0.000 0.500
0.000 0.500 0.000
0.500 0.000 0.000
0.500 0.500 0.500
```


(8)
Computed, not measured: Ca2CuRh at its PBEsol-relaxed geometry at the meta-GGA SCAN level of DFT.

Calculated values
DOS(E_F): 1.0 states/eV per cell
E_form: -0.202 eV per atom
volume: 80 Å³ per cell

Cell and atoms, written as POSCAR:
```
Ca2CuRh
1.0
4.835 0.000 0.000
2.417 4.187 0.000
2.417 1.396 3.947
Ca Rh Cu
2 1 1
Direct
0.250 0.250 0.250
0.750 0.750 0.750
0.500 0.500 0.500
0.000 0.000 0.000
```


(9)
Computed, not measured: RbV2Se2 at its PBEsol-relaxed geometry at the meta-GGA SCAN level of DFT.

Calculated values
DOS(E_F): 0.8 states/eV per cell
formation energy without anion corrections: -0.902 eV/atom
volume: 104 Å³ per cell

Cell and atoms, written as POSCAR:
```
RbV2Se2
1.0
-2.497 -2.609 -0.613
1.497 -0.663 -3.277
5.181 -3.596 5.142
Se Rb V
2 1 2
Direct
0.359 0.359 0.718
0.641 0.641 0.282
0.000 0.000 0.000
0.250 0.750 0.500
0.750 0.250 0.500
```


(10)
Computed, not measured: Na3YCl at its PBEsol-relaxed geometry at the meta-GGA SCAN level of DFT.

Calculated values
DOS(E_F): 2.5 states/eV per cell
formation energy without anion corrections: -0.257 eV/atom
volume: 161 Å³ per cell

Cell and atoms, written as POSCAR:
```
Na3YCl
1.0
5.446 0.000 0.000
0.000 5.446 0.000
0.000 0.000 5.446
Y Na Cl
1 3 1
Direct
0.500 0.500 0.500
0.000 0.500 0.000
0.000 0.000 0.500
0.500 0.000 0.000
0.000 0.000 0.000
```


(11)
Computed, not measured: LiAg2Te2 at its PBEsol-relaxed geometry at the meta-GGA SCAN level of DFT.

Calculated values
DOS(E_F): 1.4 states/eV per cell
formation energy without anion corrections: -0.139 eV/atom
volume: 126 Å³ per cell

Cell and atoms, written as POSCAR:
```
LiAg2Te2
1.0
-3.137 1.063 -4.300
4.753 -3.115 -0.813
-0.545 -5.322 -0.918
Te Ag Li
2 2 1
Direct
0.750 0.500 0.750
0.250 0.500 0.250
0.669 0.339 0.331
0.331 0.661 0.669
0.000 0.000 0.000
```


(12)
Computed, not measured: MnGa3Ag at its PBEsol-relaxed geometry at the meta-GGA SCAN level of DFT.

Calculated values
DOS(E_F): 3.7 states/eV per cell
E_form: 0.322 eV per atom
volume: 92 Å³ per cell

Cell and atoms, written as POSCAR:
```
MnGa3Ag
1.0
4.521 0.000 0.000
0.000 4.521 0.000
0.000 0.000 4.521
Mn Ga Ag
1 3 1
Direct
0.000 0.000 0.000
0.000 0.500 0.000
0.000 0.000 0.500
0.500 0.000 0.000
0.500 0.500 0.500
```